Record 1
The following is a GGA-PBEsol calculation of a relaxed Zr2ReOs crystal, from the Alexandria database.

Cell: 3.2479 3.2479 6.5243 Å, 90.00 90.00 90.00°
Closest atoms and distances in Å follow each position.
Fractional positions:
Zr (0.0000, 0.0000, 0.2498)  4 Re 2.82, 4 Os 2.82
Zr (0.0000, 0.0000, 0.7502)  4 Re 2.82, 4 Os 2.82
Re (0.5000, 0.5000, 0.0000)  8 Zr 2.82
Os (0.5000, 0.5000, 0.5000)  8 Zr 2.82

Computed properties:
V: 68.83 Å³/cell

Record 2
The following is a GGA-PBEsol calculation of a relaxed Zr2ReOs crystal, from the Alexandria database.

Cell: 2.9013 4.5514 5.2835 Å, 90.00 101.68 90.00°
Closest atoms and distances in Å follow each position.
Fractional positions:
Zr (0.0000, 0.0000, 0.0000)  2 Re 2.72-2.77, 2 Os 2.77, 4 Zr 2.86-2.90
Zr (0.2674, 0.5000, 0.7336)  2 Os 2.72-2.77, 2 Re 2.76, 4 Zr 2.86-2.90
Re (0.5064, 0.0000, 0.4929)  4 Zr 2.72-2.77, 2 Os 2.81, 2 Re 2.90
Os (0.7562, 0.5000, 0.2405)  4 Zr 2.72-2.77, 2 Re 2.81, 2 Os 2.90

Computed properties:
V: 68.32 Å³/cell

| no. | final energy (eV per atom) | energy relative to the elements (eV/atom) |
| --- | --- | --- |
| 1 | -11.32 | -0.388 |
| 2 | -11.03 | -0.102 |